## FeGePdW (PBE)

Data for an optimized crystal structure of FeGePdW. Values from VASP.

The structure in Quantum ESPRESSO input format:
```
&SYSTEM
  ibrav = 0, nat = 4, ntyp = 4
/
ATOMIC_SPECIES
Fe 55.84 Fe.upf
Ge 72.64 Ge.upf
Pd 106.42 Pd.upf
W 183.84 W.upf
CELL_PARAMETERS angstrom
0.000 3.075 3.075
3.075 0.000 3.075
3.075 3.075 0.000
ATOMIC_POSITIONS angstrom
Fe 0.000 0.000 0.000
Ge 4.613 4.613 4.613
Pd 3.075 3.075 3.075
W 1.538 1.538 1.538
```

Calculated values
ΔE to the lowest computed polymorph, meV/atom: 65
Magnetization, μB per cell: 0.93
Space-group type: F-43m, No. 216